# 1
The following is a DFT calculation (GGA-PBE) of BaTl2HW after structural relaxation.

abc: 4.9517 4.9174 4.9517
angles: 90.00 90.00 90.00
With the nearest neighbours (Å) after each atom.
Fractional positions:
Tl  0.0000  0.0000  0.5000  2 H 2.48
Tl  0.5000  0.0000  0.0000  2 H 2.48
H  0.0000  0.0000  0.0000  2 Ba 2.46, 4 Tl 2.48
W  0.5000  0.5000  0.5000  8 Tl 3.49, 4 Ba 3.50
Ba  0.0000  0.5000  0.0000  2 H 2.46

Its space group is P4/mmm. The value obtained for the total energy is -18.7 eV/cell.

---

# 2
The following is a DFT calculation (GGA-PBE) of PaNi6BH after structural relaxation.

abc: 6.6273 6.7196 6.7127
angles: 120.03 119.58 90.00
With the nearest neighbours (Å) after each atom.
Fractional positions:
Ni  0.6006  0.3506  0.2013  2 B 1.94
B  0.5000  0.5000  0.0000  6 Ni 1.93-1.94
Ni  0.8484  0.0782  0.2502  1 H 1.82, 1 B 1.93
Ni  0.4018  0.0782  0.2502  1 H 1.82, 1 B 1.93
Ni  0.4018  0.6720  0.2502  1 H 1.82, 1 B 1.93
Ni  0.1516  0.9218  0.7498  1 H 1.82, 1 B 1.93
Ni  0.2008  0.9508  0.4016  2 H 1.72
B  0.5000  0.0000  0.0000  6 Ni 1.93-1.94
H  0.5000  0.0000  0.5000  6 Ni 1.72-1.82
Pa  0.8935  0.6435  0.7871  6 Ni 2.72-2.93
Pa  0.1065  0.3565  0.2129  6 Ni 2.72-2.93
Ni  0.1516  0.3280  0.7498  1 H 1.82, 1 B 1.93
Ni  0.3994  0.6494  0.7987  2 B 1.94
Ni  0.5982  0.3280  0.7498  1 H 1.82, 1 B 1.93
Ni  0.7992  0.0492  0.5984  2 H 1.72
Ni  0.8484  0.6720  0.2502  1 H 1.82, 1 B 1.93
Ni  0.5982  0.9218  0.7498  1 H 1.82, 1 B 1.93
H  0.0000  0.0000  0.5000  6 Ni 1.72-1.82

Its space group is Imma. The value obtained for the total energy is -111.5 eV/cell.

---

# 3
The following is a DFT calculation (GGA-PBE) of Mg6CoSn after structural relaxation.

abc: 6.1175 6.1175 4.8990
angles: 90.00 90.00 119.18
With the nearest neighbours (Å) after each atom.
Fractional positions:
Mg  0.8501  0.6745  0.5000  2 Sn 2.92-3.20, 8 Mg 2.94-3.25, 2 Co 2.97
Mg  0.6659  0.3341  0.0000  10 Mg 3.01-3.06, 2 Co 3.10
Mg  0.6718  0.8368  0.0000  8 Mg 3.02-3.15, 2 Co 3.03-3.09, 2 Sn 3.07
Mg  0.8314  0.1686  0.5000  10 Mg 3.01-3.08, 2 Sn 3.10
Sn  0.3263  0.6737  0.5000  10 Mg 2.92-3.20, 2 Co 2.98
Co  0.1658  0.8342  0.0000  10 Mg 2.97-3.10, 2 Sn 2.98
Mg  0.3255  0.1499  0.5000  2 Sn 2.92-3.20, 8 Mg 2.94-3.25, 2 Co 2.97
Mg  0.1632  0.3282  0.0000  8 Mg 3.02-3.15, 2 Co 3.03-3.09, 2 Sn 3.07

Its space group is Amm2. The value obtained for the total energy is -20.3 eV/cell.

---

# 4
The following is a DFT calculation (GGA-PBE) of EuPuGaSi after structural relaxation.

abc: 5.0957 5.0957 5.0957
angles: 60.00 60.00 60.00
With the nearest neighbours (Å) after each atom.
Fractional positions:
Si  0.2500  0.2500  0.2500  4 Pu 3.12, 4 Eu 3.12
Pu  0.5000  0.5000  0.5000  4 Ga 3.12, 4 Si 3.12
Eu  0.0000  0.0000  0.0000  4 Si 3.12, 4 Ga 3.12
Ga  0.7500  0.7500  0.7500  4 Pu 3.12, 4 Eu 3.12

For the uncorrected formation energy, the calculation gives -0.287 eV/atom. Its space group is F-43m.

---

# 5
The following is a DFT calculation (GGA-PBE) of CsBaBiOs after structural relaxation.

abc: 4.1942 5.1605 15.4020
angles: 90.00 90.00 90.00
With the nearest neighbours (Å) after each atom.
Fractional positions:
Cs  0.0000  0.5000  0.1563  4 Bi 3.89, 1 Os 4.04, 2 Cs 4.19
Ba  0.5000  0.5000  0.8685  4 Os 3.41, 2 Bi 3.53
Bi  0.5000  0.0000  0.0248  2 Os 2.66
Cs  0.0000  0.0000  0.6563  4 Bi 3.89, 1 Os 4.04, 2 Cs 4.19
Os  0.0000  0.5000  0.4184  2 Bi 2.66
Ba  0.5000  0.0000  0.3685  4 Os 3.41, 2 Bi 3.53
Bi  0.5000  0.5000  0.5248  2 Os 2.66
Os  0.0000  0.0000  0.9184  2 Bi 2.66

Its space group is Amm2. The value obtained for the total energy is -32.4 eV/cell.

---

# 6
The following is a DFT calculation (GGA-PBE) of Re2Se after structural relaxation.

abc: 5.1259 5.1259 7.5045
angles: 64.25 64.25 33.59
With the nearest neighbours (Å) after each atom.
Fractional positions:
Re  0.3747  0.3747  0.3507  4 Se 2.62-2.84, 5 Re 2.71-2.90
Re  0.9534  0.9534  0.9843  3 Se 2.68-2.69, 8 Re 2.71-2.96
Re  0.4093  0.4093  0.7124  2 Se 2.49, 5 Re 2.67-2.71
Re  0.6973  0.6973  0.6758  1 Se 2.46, 5 Re 2.67-2.71
Se  0.0643  0.0643  0.4239  4 Re 2.49-2.62
Se  0.6676  0.6676  0.0196  4 Re 2.46-2.69

For the uncorrected formation energy, the calculation gives 0.434 eV/atom. Its space group is Cm.

---

# 7
The following is a DFT calculation (GGA-PBE) of La4ZnRh after structural relaxation.

abc: 6.2617 6.2617 6.2617
angles: 60.00 60.00 60.00
With the nearest neighbours (Å) after each atom.
Fractional positions:
Rh  0.7500  0.7500  0.7500  12 La 3.67, 4 Zn 3.83
La  0.8720  0.3760  0.3760  6 La 3.11-3.16
La  0.3760  0.3760  0.8720  6 La 3.11-3.16
La  0.3760  0.8720  0.3760  6 La 3.11-3.16
La  0.3760  0.3760  0.3760  6 La 3.11-3.16
Zn  0.0000  0.0000  0.0000  12 La 3.67, 4 Rh 3.83

Its space group is F-43m. The value obtained for the total energy is -25.2 eV/cell.

---

# 8
The following is a DFT calculation (GGA-PBE) of TaSnAs3 after structural relaxation.

abc: 5.0349 5.0349 5.0349
angles: 90.00 90.00 90.00
With the nearest neighbours (Å) after each atom.
Fractional positions:
As  0.0000  0.0000  0.5000  2 Ta 2.52
Sn  0.5000  0.5000  0.5000  12 As 3.56
As  0.5000  0.0000  0.0000  2 Ta 2.52
As  0.0000  0.5000  0.0000  2 Ta 2.52
Ta  0.0000  0.0000  0.0000  6 As 2.52

Its space group is Pm-3m. The value obtained for the total energy is -28.6 eV/cell.

---

# 9
The following is a DFT calculation (GGA-PBE) of AlCuAs3 after structural relaxation.

abc: 4.8132 4.8132 4.8132
angles: 90.00 90.00 90.00
With the nearest neighbours (Å) after each atom.
Fractional positions:
Cu  0.5000  0.5000  0.5000  12 As 3.40
Al  0.0000  0.0000  0.0000  6 As 2.41
As  0.0000  0.0000  0.5000  2 Al 2.41
As  0.0000  0.5000  0.0000  2 Al 2.41
As  0.5000  0.0000  0.0000  2 Al 2.41

Its space group is Pm-3m. The value obtained for the total energy is -17.8 eV/cell.

---

# 10
The following is a DFT calculation (GGA-PBE) of TaAlTe after structural relaxation.

abc: 5.1456 5.1456 3.5445
angles: 69.85 69.85 40.29
With the nearest neighbours (Å) after each atom.
Fractional positions:
Al  0.0072  0.0072  0.9928  5 Ta 2.87-3.09, 5 Te 2.89-2.97
Te  0.3291  0.3291  0.6709  5 Al 2.89-2.97, 5 Ta 2.91-3.01
Ta  0.6637  0.6637  0.3363  5 Al 2.87-3.09, 5 Te 2.91-3.01

For the uncorrected formation energy, the calculation gives -0.021 eV/atom. Its space group is I4mm.

---

# 11
The following is a DFT calculation (GGA-PBE) of ThMg2CdAu2 after structural relaxation.

abc: 4.7300 4.7300 6.7936
angles: 90.00 90.00 120.00
With the nearest neighbours (Å) after each atom.
Fractional positions:
Cd  0.0000  0.0000  0.5000  6 Mg 2.96, 6 Au 3.28
Th  0.0000  0.0000  0.0000  6 Au 3.16, 2 Cd 3.40
Mg  0.3333  0.6667  0.6664  4 Au 2.81-2.94, 3 Cd 2.96
Au  0.3333  0.6667  0.2332  4 Mg 2.81-2.94
Mg  0.6667  0.3333  0.3336  4 Au 2.81-2.94, 3 Cd 2.96
Au  0.6667  0.3333  0.7668  4 Mg 2.81-2.94

Its space group is P-3m1. The value obtained for the total energy is -21.1 eV/cell.

---

# 12
The following is a DFT calculation (GGA-PBE) of BeIr2W after structural relaxation.

abc: 8.2013 8.2013 8.2013
angles: 19.64 19.64 19.64
With the nearest neighbours (Å) after each atom.
Fractional positions:
Ir  0.4917  0.4917  0.4917  3 Be 2.43
W  0.2500  0.2500  0.2500  6 Ir 2.74, 6 W 2.80
Ir  0.0083  0.0083  0.0083  3 Be 2.43
Be  0.7500  0.7500  0.7500  6 Ir 2.43

Its space group is R-3m. The value obtained for the total energy is -35.1 eV/cell.